Ta5Rh4 (GGA-PBE, optimized geometry); DFT total energy = -10.132 eV/atom; energy of formation = -280 meV per atom
1.0
8.088 0.000 0.000
-4.044 7.004 0.000
0.000 0.000 5.295
Ta Rh
10 8
direct
0.000 0.293 0.250 Ta
0.000 0.707 0.750 Ta
0.293 0.000 0.250 Ta
0.293 0.293 0.750 Ta
0.333 0.667 0.000 Ta
0.333 0.667 0.500 Ta
0.667 0.333 0.000 Ta
0.667 0.333 0.500 Ta
0.707 0.000 0.750 Ta
0.707 0.707 0.250 Ta
0.000 0.000 0.000 Rh
0.000 0.000 0.500 Rh
0.000 0.382 0.750 Rh
0.000 0.618 0.250 Rh
0.382 0.000 0.750 Rh
0.382 0.382 0.250 Rh
0.618 0.000 0.250 Rh
0.618 0.618 0.750 Rh

---

TaRh (GGA-PBE, optimized geometry); DFT total energy = -9.756 eV/atom; energy of formation = -154 meV per atom
1.0
2.865 0.000 0.000
-1.432 2.481 0.000
0.000 0.000 9.203
Ta Rh
2 2
direct
0.333 0.667 0.360 Ta
0.667 0.333 0.640 Ta
0.333 0.667 0.874 Rh
0.667 0.333 0.126 Rh

---

TaRh2 (GGA-PBE, optimized geometry); DFT total energy = -9.340 eV/atom; energy of formation = -488 meV per atom
1.0
2.429 -4.208 0.000
2.429 4.208 0.000
-1.784 0.000 4.519
Ta Rh
2 4
direct
0.105 0.895 0.750 Ta
0.895 0.105 0.250 Ta
0.240 0.760 0.250 Rh
0.425 0.575 0.750 Rh
0.575 0.425 0.250 Rh
0.760 0.240 0.750 Rh

---

TaRh (GGA-PBE, optimized geometry); DFT total energy = -9.822 eV/atom; energy of formation = -220 meV per atom
1.0
1.445 0.835 4.480
-1.445 0.835 4.480
0.000 -1.669 4.480
Ta Rh
1 1
direct
0.000 0.000 0.000 Ta
0.500 0.500 0.500 Rh

---

TaRh (GGA-PBE, optimized geometry); DFT total energy = -8.910 eV/atom; energy of formation = 692 meV per atom
1.0
0.000 2.865 2.865
2.865 0.000 2.865
2.865 2.865 0.000
Ta Rh
1 1
direct
0.000 0.000 0.000 Ta
0.750 0.750 0.750 Rh

---

Ta3Rh2 (GGA-PBE, optimized geometry); DFT total energy = -10.041 eV/atom; energy of formation = 11 meV per atom
1.0
4.412 0.000 0.000
-2.206 3.821 0.000
0.000 0.000 5.400
Ta Rh
3 2
direct
0.000 0.000 0.000 Ta
0.333 0.667 0.362 Ta
0.667 0.333 0.638 Ta
0.333 0.667 0.849 Rh
0.667 0.333 0.151 Rh

---

TaRh4 (GGA-PBE, optimized geometry); DFT total energy = -7.598 eV/atom; energy of formation = 654 meV per atom
1.0
-2.868 2.868 2.868
2.868 -2.868 2.868
2.868 2.868 -2.868
Ta Rh
1 4
direct
0.000 0.000 0.000 Ta
0.000 0.000 0.500 Rh
0.000 0.500 0.000 Rh
0.500 0.000 0.000 Rh
0.500 0.500 0.500 Rh

---

Ta3Rh2 (GGA-PBE, optimized geometry); DFT total energy = -10.190 eV/atom; energy of formation = -138 meV per atom
1.0
1.443 0.833 11.535
-1.443 0.833 11.535
0.000 -1.666 11.535
Ta Rh
3 2
direct
0.000 0.000 0.000 Ta
0.203 0.203 0.203 Ta
0.797 0.797 0.797 Ta
0.399 0.399 0.399 Rh
0.601 0.601 0.601 Rh